# BaSr8

A geometry-optimized BaSr8 structure (PBE, the Alexandria database).

The space group is I4/mmm (No. 139) and the conventional cell measures 12.828, 12.828 and 6.055 Å, with angles of 90.00, 90.00 and 90.00 degrees. The asymmetric unit holds Ba at (0.000, 0.000, 0.000), Sr at (0.000, 0.335, 0.000) and Sr at (0.169, 0.169, 0.500).

As for the crystal system: tetragonal. The formation energy comes out at 0 meV per atom. As for the density of states at the Fermi level: 1.076 states/eV/atom.


# DyTl3Sb3Se8

A geometry-optimized DyTl3Sb3Se8 structure (PBE, the Alexandria database).

The space group is R-3m (No. 166, hexagonal axes) and the conventional cell measures 8.2898, 8.2898 and 22.7662 Å, with angles of 90.00, 90.00 and 120.00 degrees. The asymmetric unit holds Dy at (0.0000, 0.0000, 0.0000), Tl at (0.0000, 0.5000, 0.5000), Sb at (0.0000, 0.5000, 0.0000), Se at (0.0000, 0.0000, 0.2610) and Se at (0.0021, 0.5011, 0.2627).

The formation energy from raw total energies is -837 kJ/mol of formula units. As for the crystal system: trigonal. As for the density of states at the Fermi level: 0.626 states/eV/atom.


# FeTc2Ni

A geometry-optimized FeTc2Ni structure (PBE, the Alexandria database).

The space group is I-42d (No. 122) and the conventional cell measures 6.609, 6.609 and 5.054 Å, with angles of 90.00, 90.00 and 90.00 degrees. The asymmetric unit holds Fe at (0.000, 0.000, 0.000), Tc at (0.219, 0.750, 0.125) and Ni at (0.000, 0.000, 0.500).

As for the crystal system: tetragonal. The formation energy comes out at 604 meV per atom. As for the density of states at the Fermi level: 1.117 states/eV/atom.


# Ca4MgZnGa2

A geometry-optimized Ca4MgZnGa2 structure (PBE, the Alexandria database).

The space group is R-3m (No. 166, hexagonal axes) and the conventional cell measures 5.2748, 5.2748 and 25.7803 Å, with angles of 90.00, 90.00 and 120.00 degrees. The asymmetric unit holds Ca at (0.0000, 0.0000, 0.1203), Ca at (0.0000, 0.0000, 0.3708), Mg at (0.0000, 0.0000, 0.5000), Zn at (0.0000, 0.0000, 0.0000) and Ga at (0.0000, 0.0000, 0.2448).

As for the crystal system: trigonal. The formation energy comes out at -320 meV per atom. As for the density of states at the Fermi level: 0.522 states/eV/atom.


# Ac4S5O

A geometry-optimized Ac4S5O structure (PBE, the Alexandria database).

The space group is C2/m (No. 12) and the conventional cell measures 19.782, 4.130 and 7.913 Å, with angles of 90.00, 113.54 and 90.00 degrees. The asymmetric unit holds Ac at (0.000, 0.000, 0.228), Ac at (0.220, 0.500, 0.220), S at (0.000, 0.500, 0.500), S at (0.163, 0.000, 0.398), S at (0.163, 0.000, 0.928) and O at (0.000, 0.500, 0.000).

The formation energy from raw total energies is -2119 kJ/mol of formula units. As for the crystal system: monoclinic.


# Sn2HgCl6

A geometry-optimized Sn2HgCl6 structure (PBE, the Alexandria database).

The space group is C2/c (No. 15) and the conventional cell measures 11.630, 10.869 and 11.489 Å, with angles of 90.00, 105.92 and 90.00 degrees. The asymmetric unit holds Sn at (0.180, 0.067, 0.230), Hg at (0.000, 0.440, 0.250), Cl at (0.095, 0.414, 0.628), Cl at (0.102, 0.003, 0.402) and Cl at (0.190, 0.311, 0.308).

The formation energy from raw total energies is -707 kJ/mol of formula units. As for the crystal system: monoclinic. As for the density of states at the Fermi level: 0.000 states/eV/atom.


# Tl3RhI

A geometry-optimized Tl3RhI structure (PBE, the Alexandria database).

The space group is P6_3/mmc (No. 194) and the conventional cell measures 5.4379, 5.4379 and 11.3331 Å, with angles of 90.00, 90.00 and 120.00 degrees. The asymmetric unit holds Tl at (0.0000, 0.0000, 0.2500), Tl at (0.3333, 0.6667, 0.0404), Rh at (0.0000, 0.0000, 0.0000) and I at (0.3333, 0.6667, 0.7500).

The formation energy from raw total energies is 35 kJ/mol of formula units. As for the crystal system: hexagonal. As for the density of states at the Fermi level: 0.287 states/eV/atom.


# VMo2IBr

A geometry-optimized VMo2IBr structure (PBE, the Alexandria database).

The space group is P4/mmm (No. 123) and the conventional cell measures 4.854, 4.854 and 5.085 Å, with angles of 90.00, 90.00 and 90.00 degrees. The asymmetric unit holds V at (0.000, 0.000, 0.000), Mo at (0.000, 0.500, 0.000), I at (0.000, 0.000, 0.500) and Br at (0.500, 0.500, 0.500).

The formation energy from raw total energies is 689 kJ/mol of formula units. As for the crystal system: tetragonal. As for the density of states at the Fermi level: 0.997 states/eV/atom.


# FeAsPb2

A geometry-optimized FeAsPb2 structure (PBE, the Alexandria database).

The space group is C2/m (No. 12) and the conventional cell measures 6.839, 3.928 and 7.525 Å, with angles of 90.00, 107.33 and 90.00 degrees. The asymmetric unit holds Fe at (0.000, 0.000, 0.000), As at (0.000, 0.500, 0.500) and Pb at (0.246, 0.500, 0.238).

As for the crystal system: monoclinic. The formation energy comes out at 504 meV per atom. As for the density of states at the Fermi level: 0.875 states/eV/atom.


# MnAgBr2

A geometry-optimized MnAgBr2 structure (PBE, the Alexandria database).

The space group is P2/m (No. 10) and the conventional cell measures 5.470, 3.709 and 6.497 Å, with angles of 90.00, 100.74 and 90.00 degrees. The asymmetric unit holds Mn at (0.000, 0.000, 0.000), Ag at (0.500, 0.000, 0.000) and Br at (0.196, 0.500, 0.255).

The formation energy from raw total energies is -50 kJ/mol of formula units. As for the crystal system: monoclinic. As for the density of states at the Fermi level: 0.106 states/eV/atom.


# Pu4HgPd3

A geometry-optimized Pu4HgPd3 structure (PBE, the Alexandria database).

The space group is Pmmm (No. 47) and the conventional cell measures 3.187, 5.372 and 10.631 Å, with angles of 90.00, 90.00 and 90.00 degrees. The asymmetric unit holds Pu at (0.000, 0.000, 0.000), Pu at (0.000, 0.000, 0.500), Pu at (0.000, 0.500, 0.235), Hg at (0.500, 0.500, 0.500), Pd at (0.500, 0.000, 0.250) and Pd at (0.500, 0.500, 0.000).

As for the crystal system: orthorhombic. The formation energy comes out at -289 meV per atom. As for the density of states at the Fermi level: 4.365 states/eV/atom.


# LaAg12Sn6

A geometry-optimized LaAg12Sn6 structure (PBE, the Alexandria database).

The space group is R-3m (No. 166, hexagonal axes) and the conventional cell measures 12.4283, 12.4283 and 9.7828 Å, with angles of 90.00, 90.00 and 120.00 degrees. The asymmetric unit holds La at (0.0000, 0.0000, 0.0000), Ag at (0.0000, 0.3899, 0.5000), Ag at (0.0796, 0.1591, 0.2798) and Sn at (0.0592, 0.5296, 0.2411).

As for the crystal system: trigonal. The formation energy comes out at 50 meV per atom. As for the density of states at the Fermi level: 0.472 states/eV/atom.


# SmSe6Br12

A geometry-optimized SmSe6Br12 structure (PBE, the Alexandria database).

The space group is R-3 (No. 148, hexagonal axes) and the conventional cell measures 11.0973, 11.0973 and 20.3354 Å, with angles of 90.00, 90.00 and 120.00 degrees. The asymmetric unit holds Sm at (0.0000, 0.0000, 0.0000), Se at (0.0308, 0.1486, 0.6454), Br at (0.0363, 0.8138, 0.2486) and Br at (0.0680, 0.8276, 0.0808).

The formation energy from raw total energies is -611 kJ/mol of formula units. As for the crystal system: trigonal. As for the density of states at the Fermi level: 0.584 states/eV/atom.


# Tb8Pm4Mg

A geometry-optimized Tb8Pm4Mg structure (PBE, the Alexandria database).

The space group is R-3m (No. 166, hexagonal axes) and the conventional cell measures 7.2702, 7.2702 and 28.2801 Å, with angles of 90.00, 90.00 and 120.00 degrees. The asymmetric unit holds Tb at (0.0000, 0.0000, 0.2131), Tb at (0.0241, 0.5121, 0.7659), Pm at (0.0000, 0.0000, 0.0000), Pm at (0.0000, 0.5000, 0.0000) and Mg at (0.0000, 0.0000, 0.5000).

As for the crystal system: trigonal. The formation energy comes out at 181 meV per atom. As for the density of states at the Fermi level: 1.433 states/eV/atom.


# CsTi2CrAg

A geometry-optimized CsTi2CrAg structure (PBE, the Alexandria database).

The space group is P4/mmm (No. 123) and the conventional cell measures 4.963, 4.963 and 5.495 Å, with angles of 90.00, 90.00 and 90.00 degrees. The asymmetric unit holds Cs at (0.000, 0.000, 0.000), Ti at (0.000, 0.500, 0.000), Cr at (0.500, 0.500, 0.500) and Ag at (0.000, 0.000, 0.500).

As for the crystal system: tetragonal. The formation energy comes out at 2271 meV per atom. As for the density of states at the Fermi level: 1.199 states/eV/atom.


# CuAgSnF6

A geometry-optimized CuAgSnF6 structure (PBE, the Alexandria database).

The space group is P-31c (No. 163) and the conventional cell measures 5.7038, 5.7038 and 10.0883 Å, with angles of 90.00, 90.00 and 120.00 degrees. The asymmetric unit holds Cu at (0.3333, 0.6667, 0.2500), Ag at (0.0000, 0.0000, 0.0000), Sn at (0.3333, 0.6667, 0.7500) and F at (0.0265, 0.3784, 0.6397).

The formation energy from raw total energies is -1570 kJ/mol of formula units. As for the crystal system: trigonal. As for the density of states at the Fermi level: 0.697 states/eV/atom.


# SiPIr2

A geometry-optimized SiPIr2 structure (PBE, the Alexandria database).

The space group is Cmmm (No. 65) and the conventional cell measures 2.820, 4.997 and 8.261 Å, with angles of 90.00, 90.00 and 90.00 degrees. The asymmetric unit holds Si at (0.000, 0.000, 0.000), P at (0.000, 0.000, 0.500) and Ir at (0.000, 0.500, 0.232).

The formation energy from raw total energies is 40 kJ/mol of formula units. As for the crystal system: orthorhombic. As for the density of states at the Fermi level: 0.794 states/eV/atom.


# Be2TlS

A geometry-optimized Be2TlS structure (PBE, the Alexandria database).

The space group is Fm-3m (No. 225) and the conventional cell measures 6.385, 6.385 and 6.385 Å, with angles of 90.00, 90.00 and 90.00 degrees. The asymmetric unit holds Be at (0.250, 0.250, 0.250), Tl at (0.000, 0.000, 0.000) and S at (0.000, 0.000, 0.500).

The formation energy from raw total energies is 347 kJ/mol of formula units. As for the crystal system: cubic. As for the density of states at the Fermi level: 0.630 states/eV/atom.


# SrDyI5

A geometry-optimized SrDyI5 structure (PBE, the Alexandria database).

The space group is C2/c (No. 15) and the conventional cell measures 11.508, 11.201 and 11.816 Å, with angles of 90.00, 114.71 and 90.00 degrees. The asymmetric unit holds Sr at (0.000, 0.071, 0.250), Dy at (0.250, 0.250, 0.000), I at (0.000, 0.235, 0.750), I at (0.090, 0.303, 0.137) and I at (0.215, 0.013, 0.530).

The formation energy from raw total energies is -976 kJ/mol of formula units. As for the crystal system: monoclinic. As for the density of states at the Fermi level: 0.000 states/eV/atom.


# TaAsOs

A geometry-optimized TaAsOs structure (PBE, the Alexandria database).

The space group is Imm2 (No. 44) and the conventional cell measures 2.998, 4.180 and 7.784 Å, with angles of 90.00, 90.00 and 90.00 degrees. The asymmetric unit holds Ta at (0.000, 0.000, 0.000), As at (0.000, 0.000, 0.670) and Os at (0.000, 0.000, 0.342).

As for the crystal system: orthorhombic. The formation energy comes out at 68 meV per atom. As for the density of states at the Fermi level: 0.369 states/eV/atom.


# BeCuTc2

A geometry-optimized BeCuTc2 structure (PBE, the Alexandria database).

The space group is Cmmm (No. 65) and the conventional cell measures 3.292, 3.895 and 7.870 Å, with angles of 90.00, 90.00 and 90.00 degrees. The asymmetric unit holds Be at (0.000, 0.000, 0.000), Cu at (0.000, 0.000, 0.500) and Tc at (0.000, 0.500, 0.230).

As for the crystal system: orthorhombic. The formation energy comes out at 157 meV per atom. As for the density of states at the Fermi level: 0.596 states/eV/atom.


# La3SnIr

A geometry-optimized La3SnIr structure (PBE, the Alexandria database).

The space group is Cmmm (No. 65) and the conventional cell measures 10.364, 14.392 and 4.366 Å, with angles of 90.00, 90.00 and 90.00 degrees. The asymmetric unit holds La at (0.000, 0.176, 0.000), La at (0.199, 0.381, 0.500), Sn at (0.000, 0.000, 0.500), Sn at (0.000, 0.500, 0.000) and Ir at (0.250, 0.250, 0.000).

As for the crystal system: orthorhombic. The formation energy comes out at -649 meV per atom. As for the density of states at the Fermi level: 0.816 states/eV/atom.


# YTa2Au

A geometry-optimized YTa2Au structure (PBE, the Alexandria database).

The space group is I4/mmm (No. 139) and the conventional cell measures 4.108, 4.108 and 9.672 Å, with angles of 90.00, 90.00 and 90.00 degrees. The asymmetric unit holds Y at (0.000, 0.000, 0.000), Ta at (0.000, 0.500, 0.250) and Au at (0.000, 0.000, 0.500).

As for the crystal system: tetragonal. The formation energy comes out at 115 meV per atom. As for the density of states at the Fermi level: 0.850 states/eV/atom.


| no. | M_tot (μB/f.u.) | uncorrected energy (eV/atom) |
| --- | --- | --- |
| 1 | 0.000 | -1.7082 |
| 2 | 0.000 | -4.0413 |
| 3 | 0.000 | -8.1399 |
| 4 | 0.000 | -2.4362 |
| 5 | 0.000 | -6.3989 |
| 6 | 0.000 | -2.9688 |
| 7 | 0.000 | -3.1274 |
| 8 | 3.919 | -5.3732 |
| 9 | 2.881 | -4.6286 |
| 10 | 4.003 | -3.9720 |
| 11 | 22.879 | -9.4404 |
| 12 | 0.000 | -3.2738 |
| 13 | 0.000 | -2.7384 |
| 14 | 0.001 | -4.2529 |
| 15 | 3.595 | -3.5525 |
| 16 | 0.201 | -4.2728 |
| 17 | 0.000 | -7.0356 |
| 18 | 0.000 | -2.5862 |
| 19 | 0.000 | -3.4500 |
| 20 | 0.000 | -9.1759 |
| 21 | 0.000 | -6.9820 |
| 22 | 0.000 | -6.1785 |
| 23 | 0.000 | -8.2462 |